Here is a relaxed TbThRhAu crystal from the Alexandria database. Energies are from GGA-PBE.

It has space group F-43m (No. 216), with a = 7.197 Å, b = 7.197 Å, c = 7.197 Å, α = 90.00°, β = 90.00° and γ = 90.00°. The distinct sites, in fractional coordinates, are Tb at (0.000, 0.000, 0.000), Th at (0.000, 0.000, 0.500), Rh at (0.250, 0.250, 0.750) and Au at (0.250, 0.250, 0.250).

As for the calculated formation energy: -2.8 eV/f.u. The crystal system is cubic. The calculation puts the distance to the lowest polymorph of the same formula at 179.5 meV/atom. Its theoretical density is 12.31 g/cm3.

***

Here is a relaxed NiRu2 crystal from the Alexandria database. Energies are from GGA-PBE.

It has space group P4/mmm (No. 123), with a = 4.201 Å, b = 4.201 Å, c = 2.562 Å, α = 90.00°, β = 90.00° and γ = 90.00°. The distinct sites, in fractional coordinates, are Ni at (0.000, 0.000, 0.000) and Ru at (0.000, 0.500, 0.500).

As for the calculated formation energy: 2.5 eV/f.u. The crystal system is tetragonal. The calculation puts the distance to the lowest polymorph of the same formula at 796.0 meV/atom. Its theoretical density is 9.58 g/cm3.

***

Here is a relaxed PuZnSiAg crystal from the Alexandria database. Energies are from GGA-PBE.

It has space group F-43m (No. 216), with a = 6.720 Å, b = 6.720 Å, c = 6.720 Å, α = 90.00°, β = 90.00° and γ = 90.00°. The distinct sites, in fractional coordinates, are Pu at (0.000, 0.000, 0.000), Zn at (0.250, 0.250, 0.750), Si at (0.250, 0.250, 0.250) and Ag at (0.000, 0.000, 0.500).

The crystal system is cubic. The formation energy without anion corrections comes out at -84 meV/atom. Its theoretical density is 9.75 g/cm3.

***

Here is a relaxed K6TeF12 crystal from the Alexandria database. Energies are from GGA-PBE.

It has space group R-3 (No. 148, hexagonal axes), with a = 11.6892 Å, b = 11.6892 Å, c = 10.8071 Å, α = 90.00°, β = 90.00° and γ = 120.00°. The distinct sites, in fractional coordinates, are K at (0.0062, 0.7830, 0.1245), Te at (0.0000, 0.0000, 0.5000), F at (0.0025, 0.7821, 0.8849) and F at (0.0148, 0.8763, 0.3998).

The crystal system is trigonal. The formation energy without anion corrections comes out at -2399 meV/atom. Its theoretical density is 2.30 g/cm3.

***

Here is a relaxed CdIn4Rh5 crystal from the Alexandria database. Energies are from GGA-PBE.

It has space group P4/mmm (No. 123), with a = 3.237 Å, b = 3.237 Å, c = 16.135 Å, α = 90.00°, β = 90.00° and γ = 90.00°. The distinct sites, in fractional coordinates, are Cd at (0.000, 0.000, 0.000), In at (0.000, 0.000, 0.198), In at (0.000, 0.000, 0.400), Rh at (0.500, 0.500, 0.104), Rh at (0.500, 0.500, 0.301) and Rh at (0.500, 0.500, 0.500).

As for the calculated formation energy: -3.8 eV/f.u. The crystal system is tetragonal. Its theoretical density is 10.67 g/cm3.

***

Here is a relaxed LiSe8 crystal from the Alexandria database. Energies are from GGA-PBE.

It has space group I4/mmm (No. 139), with a = 10.018 Å, b = 10.018 Å, c = 4.524 Å, α = 90.00°, β = 90.00° and γ = 90.00°. The distinct sites, in fractional coordinates, are Li at (0.000, 0.000, 0.000), Se at (0.000, 0.377, 0.000) and Se at (0.127, 0.127, 0.500).

The crystal system is tetragonal. The formation energy without anion corrections comes out at 209 meV/atom. Its theoretical density is 4.67 g/cm3.

***

Here is a relaxed TiV4Os5 crystal from the Alexandria database. Energies are from GGA-PBE.

It has space group P4/mmm (No. 123), with a = 3.032 Å, b = 3.032 Å, c = 15.216 Å, α = 90.00°, β = 90.00° and γ = 90.00°. The distinct sites, in fractional coordinates, are Ti at (0.000, 0.000, 0.000), V at (0.000, 0.000, 0.202), V at (0.000, 0.000, 0.401), Os at (0.500, 0.500, 0.103), Os at (0.500, 0.500, 0.303) and Os at (0.500, 0.500, 0.500).

As for the calculated formation energy: -3.2 eV/f.u. The crystal system is tetragonal. Its theoretical density is 14.28 g/cm3.

***

Here is a relaxed Sn2HgBi2 crystal from the Alexandria database. Energies are from GGA-PBE.

It has space group C2/c (No. 15), with a = 9.319 Å, b = 11.471 Å, c = 7.704 Å, α = 90.00°, β = 125.85° and γ = 90.00°. The distinct sites, in fractional coordinates, are Sn at (0.191, 0.127, 0.250), Hg at (0.000, 0.373, 0.750), Bi at (0.000, 0.091, 0.750) and Bi at (0.000, 0.346, 0.250).

As for the calculated formation energy: 0.6 eV/f.u. The crystal system is monoclinic. The calculation puts the distance to the lowest polymorph of the same formula at 23.5 meV/atom. Its theoretical density is 8.52 g/cm3.

***

Here is a relaxed BeSbPt2 crystal from the Alexandria database. Energies are from GGA-PBE.

It has space group I-4m2 (No. 119), with a = 3.882 Å, b = 3.882 Å, c = 8.398 Å, α = 90.00°, β = 90.00° and γ = 90.00°. The distinct sites, in fractional coordinates, are Be at (0.000, 0.000, 0.000), Sb at (0.000, 0.500, 0.250), Pt at (0.000, 0.000, 0.500) and Pt at (0.000, 0.500, 0.750).

The crystal system is tetragonal. The calculation puts the distance to the lowest polymorph of the same formula at 255.2 meV/atom. The formation energy without anion corrections comes out at -151 meV/atom. Its theoretical density is 13.67 g/cm3.

***

Here is a relaxed MoRh2Cl4 crystal from the Alexandria database. Energies are from GGA-PBE.

It has space group I4/mmm (No. 139), with a = 5.162 Å, b = 5.162 Å, c = 12.163 Å, α = 90.00°, β = 90.00° and γ = 90.00°. The distinct sites, in fractional coordinates, are Mo at (0.000, 0.000, 0.000), Rh at (0.000, 0.000, 0.404), Cl at (0.000, 0.000, 0.201) and Cl at (0.000, 0.500, 0.000).

The crystal system is tetragonal. The formation energy without anion corrections comes out at 269 meV/atom. Its theoretical density is 4.55 g/cm3.

***

Here is a relaxed Zr2FeRe crystal from the Alexandria database. Energies are from GGA-PBE.

It has space group P4mm (No. 99), with a = 2.884 Å, b = 2.884 Å, c = 8.451 Å, α = 90.00°, β = 90.00° and γ = 90.00°. The distinct sites, in fractional coordinates, are Zr at (0.000, 0.000, 0.000), Zr at (0.500, 0.500, 0.334), Fe at (0.000, 0.000, 0.569) and Re at (0.500, 0.500, 0.738).

As for the calculated formation energy: 0.2 eV/f.u. The crystal system is tetragonal. The calculation puts the distance to the lowest polymorph of the same formula at 247.3 meV/atom. Its theoretical density is 10.03 g/cm3.

***

Here is a relaxed ZrReTe2 crystal from the Alexandria database. Energies are from GGA-PBE.

It has space group I-42d (No. 122), with a = 4.828 Å, b = 4.828 Å, c = 17.182 Å, α = 90.00°, β = 90.00° and γ = 90.00°. The distinct sites, in fractional coordinates, are Zr at (0.000, 0.000, 0.000), Re at (0.000, 0.000, 0.500) and Te at (0.221, 0.250, 0.625).

The crystal system is tetragonal. The calculation puts the distance to the lowest polymorph of the same formula at 633.0 meV/atom. The formation energy without anion corrections comes out at 416 meV/atom. Its theoretical density is 8.83 g/cm3.